# 1
A relaxed LaReSe2 crystal. Source: Alexandria, functional GGA-PBE.

Output
Raw formation energy in meV/atom: -233
Final energy in eV/atom: -6.319
ΔE to the lowest computed polymorph in meV/atom: 487

CIF file:
```
data_LaReSe2
_chemical_formula_sum 'La4 Re4 Se8'
_cell_length_a 6.892
_cell_length_b 6.892
_cell_length_c 6.892
_cell_angle_alpha 90.00
_cell_angle_beta 90.00
_cell_angle_gamma 90.00
_space_group_name_H-M_alt 'F m -3 m'
_space_group_IT_number 225
_space_group_name_Hall '-F 4 2 3'
loop_
_atom_site_label
_atom_site_type_symbol
_atom_site_fract_x
_atom_site_fract_y
_atom_site_fract_z
La1 La 0.000 0.000 0.000
Re1 Re 0.000 0.000 0.500
Se1 Se 0.250 0.250 0.250
```



# 2
A relaxed LaRe4Se8 crystal. Source: Alexandria, functional GGA-PBE.

Output
Raw formation energy in meV/atom: -216
Final energy in eV/atom: -6.570

CIF file:
```
data_LaRe4Se8
_chemical_formula_sum 'La1 Re4 Se8'
_cell_length_a 6.474
_cell_length_b 7.470
_cell_length_c 7.840
_cell_angle_alpha 70.07
_cell_angle_beta 65.63
_cell_angle_gamma 64.40
_space_group_name_H-M_alt 'P -1'
_space_group_IT_number 2
_space_group_name_Hall '-P 1'
loop_
_atom_site_label
_atom_site_type_symbol
_atom_site_fract_x
_atom_site_fract_y
_atom_site_fract_z
La1 La 0.000 0.000 0.000
Re1 Re 0.000 0.500 0.000
Re2 Re 0.000 0.500 0.500
Re3 Re 0.500 0.500 0.000
Re4 Re 0.500 0.500 0.500
Se1 Se 0.236 0.290 0.237
Se2 Se 0.241 0.293 0.735
Se3 Se 0.269 0.707 0.265
Se4 Se 0.271 0.704 0.754
```



# 3
A relaxed LaReSe2 crystal. Source: Alexandria, functional GGA-PBE.

Output
Raw formation energy in meV/atom: -50
Final energy in eV/atom: -6.136
ΔE to the lowest computed polymorph in meV/atom: 670

CIF file:
```
data_LaReSe2
_chemical_formula_sum 'La3 Re3 Se6'
_cell_length_a 3.3127
_cell_length_b 3.3127
_cell_length_c 28.6760
_cell_angle_alpha 90.00
_cell_angle_beta 90.00
_cell_angle_gamma 120.00
_space_group_name_H-M_alt 'R -3 m'
_space_group_IT_number 166
_space_group_name_Hall '-R 3 2"'
loop_
_atom_site_label
_atom_site_type_symbol
_atom_site_fract_x
_atom_site_fract_y
_atom_site_fract_z
La1 La 0.0000 0.0000 0.0000
Re1 Re 0.0000 0.0000 0.5000
Se1 Se 0.0000 0.0000 0.1068
```



# 4
A relaxed LaReSe crystal. Source: Alexandria, functional GGA-PBE.

Output
Raw formation energy in meV/atom: -199
Final energy in eV/atom: -7.152
ΔE to the lowest computed polymorph in meV/atom: 0

CIF file:
```
data_LaReSe
_chemical_formula_sum 'La1 Re1 Se1'
_cell_length_a 4.3900
_cell_length_b 4.3900
_cell_length_c 4.0059
_cell_angle_alpha 90.00
_cell_angle_beta 90.00
_cell_angle_gamma 120.00
_space_group_name_H-M_alt 'P -6 m 2'
_space_group_IT_number 187
_space_group_name_Hall 'P -6 2'
loop_
_atom_site_label
_atom_site_type_symbol
_atom_site_fract_x
_atom_site_fract_y
_atom_site_fract_z
La1 La 0.0000 0.0000 0.0000
Re1 Re 0.6667 0.3333 0.5000
Se1 Se 0.3333 0.6667 0.5000
```



# 5
A relaxed La3ReSe crystal. Source: Alexandria, functional GGA-PBE.

Output
Raw formation energy in meV/atom: -178
Final energy in eV/atom: -6.321
ΔE to the lowest computed polymorph in meV/atom: 0

CIF file:
```
data_La3ReSe
_chemical_formula_sum 'La3 Re1 Se1'
_cell_length_a 5.510
_cell_length_b 5.510
_cell_length_c 5.510
_cell_angle_alpha 90.00
_cell_angle_beta 90.00
_cell_angle_gamma 90.00
_space_group_name_H-M_alt 'P m -3 m'
_space_group_IT_number 221
_space_group_name_Hall '-P 4 2 3'
loop_
_atom_site_label
_atom_site_type_symbol
_atom_site_fract_x
_atom_site_fract_y
_atom_site_fract_z
La1 La 0.000 0.000 0.500
Re1 Re 0.000 0.000 0.000
Se1 Se 0.500 0.500 0.500
```



# 6
A relaxed LaReSe2 crystal. Source: Alexandria, functional GGA-PBE.

Output
Raw formation energy in meV/atom: -659
Final energy in eV/atom: -6.745
ΔE to the lowest computed polymorph in meV/atom: 60

CIF file:
```
data_LaReSe2
_chemical_formula_sum 'La3 Re3 Se6'
_cell_length_a 4.1396
_cell_length_b 4.1396
_cell_length_c 17.7764
_cell_angle_alpha 90.00
_cell_angle_beta 90.00
_cell_angle_gamma 120.00
_space_group_name_H-M_alt 'R 3 m'
_space_group_IT_number 160
_space_group_name_Hall 'R 3 -2"'
loop_
_atom_site_label
_atom_site_type_symbol
_atom_site_fract_x
_atom_site_fract_y
_atom_site_fract_z
La1 La 0.0000 0.0000 0.0000
Re1 Re 0.0000 0.0000 0.1892
Se1 Se 0.0000 0.0000 0.5687
Se2 Se 0.0000 0.0000 0.7842
```